(1)
## Zr4UAs5 (PBE)

Data for a relaxed Zr4UAs5 crystal.

Output
Spin magnetization in μB per formula unit: 2.676
Crystal system: orthorhombic

abc: 3.8866 5.5368 19.7005
angles: 90.00 90.00 90.00
Space group Immm (No. 71)
One atom of each set of equivalent atoms:
Zr1 0.0000 0.0000 0.1028
Zr2 0.0000 0.0000 0.2985
U1 0.0000 0.0000 0.5000
As1 0.0000 0.5000 0.1041
As2 0.0000 0.5000 0.2995
As3 0.0000 0.5000 0.5000

(2)
## Zr3UAs4 (PBE)

Data for a relaxed Zr3UAs4 crystal.

Output
Spin magnetization in μB per formula unit: 2.222
Crystal system: monoclinic

abc: 6.7921 7.8459 6.7905
angles: 90.00 109.53 90.00
Space group P2/c (No. 13)
One atom of each set of equivalent atoms:
Zr1 0.0000 0.1204 0.2500
Zr2 0.0000 0.3688 0.7500
Zr3 0.5000 0.1245 0.7500
U1 0.5000 0.3757 0.2500
As1 0.2419 0.3716 0.4977
As2 0.2483 0.1220 0.0000

(3)
## Zr2UAs4 (PBE)

Data for a relaxed Zr2UAs4 crystal.

Output
Spin magnetization in μB per formula unit: 1.655
Crystal system: orthorhombic

abc: 3.8721 12.5716 12.9607
angles: 90.00 90.00 90.00
Space group Cmcm (No. 63)
One atom of each set of equivalent atoms:
Zr1 0.0000 0.1351 0.0590
U1 0.0000 0.3898 0.2500
As1 0.0000 0.0546 0.2500
As2 0.0000 0.2298 0.6316
As3 0.0000 0.5000 0.0000

(4)
## V4As (PBE)

Data for a relaxed V4As crystal.

Output
Spin magnetization in μB per formula unit: 0.377
Energy above the lowest structure with this stoichiometry in meV per atom: 914.1
Crystal system: cubic

abc: 4.4835 4.4835 4.4835
angles: 90.00 90.00 90.00
Space group Pm-3m (No. 221)
One atom of each set of equivalent atoms:
V1 0.0000 0.0000 0.0000
V2 0.0000 0.5000 0.5000
As1 0.5000 0.5000 0.5000

(5)
## V4As (PBE)

Data for a relaxed V4As crystal.

Output
Spin magnetization in μB per formula unit: 0.000
Energy above the lowest structure with this stoichiometry in meV per atom: 0.0
Crystal system: orthorhombic

abc: 9.4216 11.2339 5.4275
angles: 90.00 90.00 90.00
Space group Fdd2 (No. 43)
One atom of each set of equivalent atoms:
V1 0.0714 0.1058 0.0000
V2 0.0903 0.2008 0.4899
As1 0.0000 0.0000 0.6030

(6)
## V2As (PBE)

Data for a relaxed V2As crystal.

Output
Spin magnetization in μB per formula unit: 0.000
Crystal system: monoclinic

abc: 7.9269 4.4650 5.3839
angles: 90.00 117.47 90.00
Space group C2/m (No. 12)
One atom of each set of equivalent atoms:
V1 0.0121 0.0000 0.2754
V2 0.1743 0.5000 0.7658
As1 0.1787 0.5000 0.2638

(7)
## V20As11 (PBE)

Data for a relaxed V20As11 crystal.

Output
Spin magnetization in μB per formula unit: 0.000
Crystal system: orthorhombic

abc: 4.8529 13.3587 13.3511
angles: 90.00 90.00 90.00
Space group C222 (No. 21)
One atom of each set of equivalent atoms:
V1 0.9997 0.2498 0.2473
V2 0.2320 0.0738 0.1466
V3 0.2332 0.1472 0.9272
V4 0.2483 0.0746 0.3473
V5 0.2498 0.1528 0.5752
As1 0.0000 0.0000 0.5000
As2 0.0000 0.5000 0.0000
As3 0.0000 0.5000 0.5000
As4 0.2487 0.4154 0.7522
As5 0.2500 0.2500 0.0834
As6 0.2500 0.2500 0.4133

(8)
## VAs3 (PBE)

Data for a relaxed VAs3 crystal.

Output
Spin magnetization in μB per formula unit: 0.000
Crystal system: orthorhombic

abc: 3.2958 8.0624 5.2029
angles: 90.00 90.00 90.00
Space group Imm2 (No. 44)
One atom of each set of equivalent atoms:
V1 0.0000 0.0000 0.0000
As1 0.0000 0.3105 0.2215
As2 0.0000 0.5000 0.8572

(9)
## VAs2 (PBE)

Data for a relaxed VAs2 crystal.

Output
Spin magnetization in μB per formula unit: 0.000
Crystal system: monoclinic

abc: 9.1166 3.2918 7.5105
angles: 90.00 119.92 90.00
Space group C2/m (No. 12)
One atom of each set of equivalent atoms:
V1 0.1541 0.0000 0.1938
As1 0.0957 0.5000 0.8937
As2 0.1477 0.0000 0.5345

(10)
## V4As3 (PBE)

Data for a relaxed V4As3 crystal.

Output
Spin magnetization in μB per formula unit: 0.000
Energy above the lowest structure with this stoichiometry in meV per atom: 0.0
Crystal system: orthorhombic

abc: 3.3878 13.8192 17.8158
angles: 90.00 90.00 90.00
Space group Cmcm (No. 63)
One atom of each set of equivalent atoms:
V1 0.0000 0.0000 0.0000
V2 0.0000 0.0588 0.2500
V3 0.0000 0.2664 0.1616
V4 0.0000 0.3310 0.5265
V5 0.0000 0.4682 0.1159
As1 0.0000 0.1001 0.1167
As2 0.0000 0.1572 0.5774
As3 0.0000 0.3026 0.7500
As4 0.0000 0.4190 0.2500

(11)
## V5As2 (PBE)

Data for a relaxed V5As2 crystal.

Output
Spin magnetization in μB per formula unit: 0.000
Crystal system: monoclinic

abc: 13.4487 4.9033 6.1225
angles: 90.00 93.30 90.00
Space group C2/c (No. 15)
One atom of each set of equivalent atoms:
V1 0.0000 0.1487 0.2500
V2 0.0954 0.3561 0.9408
V3 0.2293 0.1368 0.2741
As1 0.1111 0.1701 0.5706

(12)
## V4As3 (PBE)

Data for a relaxed V4As3 crystal.

Output
Spin magnetization in μB per formula unit: 0.001
Energy above the lowest structure with this stoichiometry in meV per atom: 13.0
Crystal system: monoclinic

abc: 13.8781 3.3680 9.1112
angles: 90.00 100.76 90.00
Space group C2/m (No. 12)
One atom of each set of equivalent atoms:
V1 0.0000 0.0000 0.0000
V2 0.0000 0.0000 0.5000
V3 0.0595 0.5000 0.2285
V4 0.1629 0.5000 0.9478
V5 0.2262 0.0000 0.6888
As1 0.0707 0.0000 0.7670
As2 0.1427 0.5000 0.4925
As3 0.1751 0.0000 0.1539

(13)
## VAs2 (PBE)

Data for a relaxed VAs2 crystal.

Output
Spin magnetization in μB per formula unit: 0.001
Crystal system: tetragonal

abc: 5.9544 5.9544 5.3777
angles: 90.00 90.00 90.00
Space group I4/mcm (No. 140)
One atom of each set of equivalent atoms:
V1 0.0000 0.0000 0.2500
As1 0.1486 0.3514 0.0000

(14)
## V5As (PBE)

Data for a relaxed V5As crystal.

Output
Spin magnetization in μB per formula unit: 0.000
Crystal system: orthorhombic

abc: 4.1357 12.2733 3.1944
angles: 90.00 90.00 90.00
Space group Cmmm (No. 65)
One atom of each set of equivalent atoms:
V1 0.0000 0.0000 0.0000
V2 0.0000 0.1620 0.5000
V3 0.0000 0.3304 0.0000
As1 0.0000 0.5000 0.5000

(15)
## VAs2 (PBE)

Data for a relaxed VAs2 crystal.

Output
Spin magnetization in μB per formula unit: 0.000
Crystal system: monoclinic

abc: 4.6975 4.7035 4.8147
angles: 90.00 118.64 90.00
Space group C2/m (No. 12)
One atom of each set of equivalent atoms:
V1 0.0000 0.0000 0.0000
As1 0.1580 0.5000 0.3144

(16)
## V13As2 (PBE)

Data for a relaxed V13As2 crystal.

Output
Spin magnetization in μB per formula unit: 0.000
Crystal system: trigonal

abc: 6.3318 6.3318 22.3155
angles: 90.00 90.00 120.00
Space group R-3m (No. 166, hexagonal axes)
One atom of each set of equivalent atoms:
V1 0.0000 0.0000 0.0000
V2 0.0167 0.5084 0.4229
V3 0.0810 0.5405 0.3014
As1 0.0000 0.0000 0.1604

(17)
## VAs4 (PBE)

Data for a relaxed VAs4 crystal.

Output
Spin magnetization in μB per formula unit: 1.439
Crystal system: cubic

abc: 4.7530 4.7530 4.7530
angles: 90.00 90.00 90.00
Space group Pm-3m (No. 221)
One atom of each set of equivalent atoms:
V1 0.0000 0.0000 0.0000
As1 0.0000 0.0000 0.5000
As2 0.5000 0.5000 0.5000

(18)
## VAsW (PBE)

Data for a relaxed VAsW crystal.

Output
Spin magnetization in μB per formula unit: 0.000
Energy above the lowest structure with this stoichiometry in meV per atom: 128.3
Crystal system: trigonal

abc: 4.4192 4.4192 2.7514
angles: 90.00 90.00 120.00
Space group P3m1 (No. 156)
One atom of each set of equivalent atoms:
V1 0.0000 0.0000 0.0000
As1 0.3333 0.6667 0.2275
W1 0.6667 0.3333 0.3485

(19)
## V3AsW (PBE)

Data for a relaxed V3AsW crystal.

Output
Spin magnetization in μB per formula unit: 0.000
Energy above the lowest structure with this stoichiometry in meV per atom: 0.0
Crystal system: monoclinic

abc: 8.5354 5.3857 13.1025
angles: 90.00 102.20 90.00
Space group C2/c (No. 15)
One atom of each set of equivalent atoms:
V1 0.0204 0.0803 0.0873
V2 0.1829 0.1519 0.7882
V3 0.2192 0.3518 0.4069
As1 0.0000 0.2888 0.2500
As2 0.2500 0.2500 0.0000
W1 0.0485 0.4053 0.5964

(20)
## V3AsW (PBE)

Data for a relaxed V3AsW crystal.

Output
Spin magnetization in μB per formula unit: 0.000
Energy above the lowest structure with this stoichiometry in meV per atom: 1338.3
Crystal system: cubic

abc: 4.6031 4.6031 4.6031
angles: 90.00 90.00 90.00
Space group Pm-3m (No. 221)
One atom of each set of equivalent atoms:
V1 0.0000 0.0000 0.5000
As1 0.5000 0.5000 0.5000
W1 0.0000 0.0000 0.0000

| no. | total DFT energy (no corrections) (eV/atom) |
| --- | --- |
| 1 | -7.905 |
| 2 | -7.968 |
| 3 | -7.519 |
| 4 | -7.398 |
| 5 | -8.313 |
| 6 | -7.851 |
| 7 | -7.959 |
| 8 | -5.911 |
| 9 | -6.530 |
| 10 | -7.686 |
| 11 | -8.070 |
| 12 | -7.673 |
| 13 | -6.420 |
| 14 | -8.589 |
| 15 | -6.280 |
| 16 | -8.021 |
| 17 | -5.108 |
| 18 | -8.767 |
| 19 | -8.974 |
| 20 | -7.636 |